No. 1
# NaIrRu

A geometry-optimized NaIrRu structure (PBE, the Alexandria database).

Values from the calculation:
Electronic total energy: -36.633 eV/cell
Formation energy: 380 meV per atom
Excess energy over the best structure of this formula in the dataset: 46 meV/atom
Crystal system: triclinic

a = 5.8758 Å, b = 3.8739 Å, c = 5.4091 Å
α = 90.00°, β = 103.50°, γ = 109.46°
Fractional positions:
Na (0.0802, 0.9289, 0.6829)
Na (0.0802, 0.9290, 0.1829)
Ir (0.4968, 0.6365, 0.5332)
Ir (0.6636, 0.2211, 0.8318)
Ru (0.4951, 0.6358, 0.0402)
Ru (0.6652, 0.2217, 0.3248)

---

No. 2
# TbErCdSn

A geometry-optimized TbErCdSn structure (PBE, the Alexandria database).

Values from the calculation:
Electronic total energy: -16.051 eV/cell
Formation energy: -485 meV per atom
Crystal system: cubic

a = 5.2737 Å, b = 5.2737 Å, c = 5.2737 Å
α = 60.00°, β = 60.00°, γ = 60.00°
Fractional positions:
Er (0.2500, 0.2500, 0.2500)
Cd (0.5000, 0.5000, 0.5000)
Tb (0.7500, 0.7500, 0.7500)
Sn (0.0000, 0.0000, 0.0000)

---

- Among the records above, which one has the lowest electronic total energy?
  NaIrRu